This record from the Alexandria database describes a relaxed structure of LiMg6CoO8. The functional is PBE+U. Values from VASP.

Summary:
Electronic total energy: -93.6 eV for the cell shown
Space group: P4/mmm, No. 123
ρ: 3.77 Mg/m³
Total moment: 1.917 Bohr magnetons per cell

Quantum ESPRESSO input file:
```
&SYSTEM
  ibrav = 0, nat = 16, ntyp = 4
/
ATOMIC_SPECIES
Co 58.93 Co.upf
O 16.00 O.upf
Mg 24.30 Mg.upf
Li 6.94 Li.upf
ATOMIC_POSITIONS crystal
Co 0.0000 0.0000 0.0000
O 0.0000 0.0000 0.2356
O 0.5000 0.5000 0.7442
O 0.5000 0.0000 0.5000
O 0.0000 0.5000 0.0000
O 0.0000 0.5000 0.5000
O 0.5000 0.5000 0.2558
O 0.5000 0.0000 0.0000
O 0.0000 0.0000 0.7644
Mg 0.0000 0.5000 0.2433
Mg 0.5000 0.0000 0.7567
Mg 0.0000 0.5000 0.7567
Mg 0.5000 0.5000 0.5000
Mg 0.5000 0.0000 0.2433
Mg 0.0000 0.0000 0.5000
Li 0.5000 0.5000 0.0000
CELL_PARAMETERS angstrom
4.1968 0.0000 0.0000
0.0000 4.1968 0.0000
0.0000 0.0000 8.5036
```